# Li5Pd6Rh

A relaxed Li5Pd6Rh crystal (PBE, Alexandria).

Unit cell a=7.3661 b=7.3661 c=7.3661 alpha=146.38 beta=131.40 gamma=60.40
Last column: nearest neighbours and their distance in Å.
Sites, in units of the cell vectors:
1 Li 0.0000 0.0000 0.0000  8 Pd 2.56-2.61
2 Li 0.1704 0.6704 0.5000  8 Pd 2.57-2.59
3 Li 0.3438 0.3438 0.0000  8 Pd 2.56-2.67
4 Li 0.6562 0.6562 0.0000  8 Pd 2.56-2.67
5 Li 0.8296 0.3296 0.5000  8 Pd 2.57-2.59
6 Pd 0.0731 0.8308 0.2423  7 Li 2.57-2.67, 1 Rh 2.66
7 Pd 0.2342 0.5000 0.7342  6 Li 2.56-2.59, 2 Rh 2.67, 1 Pd 2.84
8 Pd 0.4115 0.1692 0.2423  7 Li 2.57-2.67, 1 Rh 2.66
9 Pd 0.5885 0.8308 0.7577  7 Li 2.57-2.67, 1 Rh 2.66
10 Pd 0.7658 0.5000 0.2658  6 Li 2.56-2.59, 2 Rh 2.67, 1 Pd 2.84
11 Pd 0.9269 0.1692 0.7577  7 Li 2.57-2.67, 1 Rh 2.66
12 Rh 0.5000 0.0000 0.5000  8 Pd 2.66-2.67, 4 Li 2.91

Summary:
Mass density: 7.84 g/cm3
Formation enthalpy at 0 K: -0.318 eV/atom
Space group: Immm, No. 71
Total DFT energy (no corrections): -4.324 eV per atom

# Li2PdRh2

A relaxed Li2PdRh2 crystal (PBE, Alexandria).

Unit cell a=7.7709 b=7.7709 c=7.7709 alpha=157.56 beta=157.56 gamma=31.95
Last column: nearest neighbours and their distance in Å.
Sites, in units of the cell vectors:
1 Li 0.2500 0.7500 0.5000  4 Li 2.14
2 Li 0.7500 0.2500 0.5000  4 Li 2.14
3 Pd 0.0000 0.0000 0.0000  8 Rh 2.69
4 Rh 0.3903 0.3903 0.0000  4 Li 2.58, 4 Pd 2.69
5 Rh 0.6097 0.6097 0.0000  4 Li 2.58, 4 Pd 2.69

Summary:
Mass density: 7.93 g/cm3
Formation enthalpy at 0 K: 0.292 eV/atom
Space group: I4/mmm, No. 139
ΔE to the lowest computed polymorph: 244 meV/atom
Total DFT energy (no corrections): -4.452 eV per atom

- formation enthalpy at 0 K of number 2 (Li2PdRh2)?
  0.292 eV/atom

- The lowest formation enthalpy at 0 K belongs to which entry?
  Li5Pd6Rh

- Among the records above, which one has the highest total DFT energy (no corrections)?
  Li5Pd6Rh

- Number 1 is which compound?
  Li5Pd6Rh